# LiMgAlH6

Crystalline LiMgAlH6 at its relaxed geometry (GGA-PBEsol, Alexandria).

Properties
M_tot in μB/atom: 0.00
Total DFT energy (no corrections) in eV per atom: -3.243

```
LiMgAlH6
1.0
-2.144 -1.028 -3.607
-5.860 -3.083 4.361
-0.198 7.653 -2.064
H Mg Al Li
18 3 3 3
direct
0.777 0.094 0.884
0.777 0.790 0.906
0.777 0.116 0.210
0.223 0.906 0.790
0.223 0.210 0.116
0.223 0.884 0.094
0.728 0.458 0.583
0.728 0.125 0.542
0.728 0.417 0.875
0.272 0.542 0.125
0.272 0.875 0.417
0.272 0.583 0.458
0.728 0.767 0.225
0.728 0.458 0.233
0.728 0.775 0.542
0.272 0.233 0.458
0.272 0.542 0.775
0.272 0.225 0.767
0.000 0.636 0.000
0.000 0.364 0.364
0.000 0.000 0.636
0.000 0.000 0.000
0.500 0.667 0.333
0.500 0.333 0.667
0.500 0.296 0.000
0.500 0.704 0.704
0.500 0.000 0.296
```


# LiMn3Al2H6O12

Crystalline LiMn3Al2H6O12 at its relaxed geometry (GGA-PBEsol, Alexandria).

Properties
M_tot in μB/atom: 0.33
Total DFT energy (no corrections) in eV per atom: -6.880
Offset from the most stable computed form in meV per atom: 21

```
LiMn3Al2H6O12
1.0
-4.317 1.281 -3.586
5.570 -1.545 -4.939
-1.391 -9.376 2.958
Li Mn Al H O
2 6 4 12 24
direct
0.658 0.656 0.499
0.342 0.344 0.501
0.667 0.667 0.001
0.168 0.667 0.001
0.832 0.333 0.999
0.333 0.333 0.999
0.000 0.000 0.000
0.500 0.000 0.000
0.169 0.659 0.498
0.500 0.000 0.500
0.831 0.341 0.502
0.000 0.000 0.500
0.104 0.844 0.284
0.547 0.830 0.709
0.607 0.853 0.291
0.251 0.514 0.285
0.073 0.825 0.705
0.781 0.501 0.287
0.219 0.499 0.713
0.927 0.175 0.295
0.393 0.147 0.709
0.749 0.486 0.715
0.453 0.170 0.291
0.896 0.156 0.716
0.161 0.870 0.391
0.004 0.802 0.106
0.490 0.808 0.603
0.665 0.867 0.897
0.503 0.801 0.105
0.316 0.544 0.390
0.668 0.881 0.397
0.017 0.806 0.599
0.165 0.867 0.897
0.834 0.535 0.900
0.668 0.465 0.103
0.842 0.525 0.392
0.158 0.475 0.608
0.332 0.535 0.897
0.166 0.465 0.100
0.983 0.194 0.401
0.835 0.133 0.103
0.497 0.199 0.895
0.684 0.456 0.610
0.332 0.119 0.603
0.335 0.133 0.103
0.510 0.192 0.397
0.839 0.130 0.609
0.996 0.198 0.894
```


# LiMn3Al2H6O12

Crystalline LiMn3Al2H6O12 at its relaxed geometry (GGA-PBEsol, Alexandria).

Properties
M_tot in μB/atom: 0.33
Total DFT energy (no corrections) in eV per atom: -6.901
Offset from the most stable computed form in meV per atom: 0

```
LiMn3Al2H6O12
1.0
4.982 -0.037 0.010
-2.459 4.333 0.010
-0.861 -1.466 9.362
Li Mn Al H O
1 3 2 6 12
direct
0.500 0.500 0.500
0.000 0.000 0.000
0.333 0.667 0.000
0.667 0.333 0.000
0.833 0.167 0.500
0.167 0.833 0.500
0.222 0.222 0.711
0.570 0.919 0.711
0.919 0.570 0.711
0.081 0.430 0.289
0.430 0.081 0.289
0.778 0.778 0.289
0.177 0.177 0.606
0.299 0.299 0.897
0.535 0.894 0.606
0.632 0.966 0.897
0.894 0.535 0.606
0.966 0.632 0.897
0.034 0.368 0.103
0.106 0.465 0.394
0.368 0.034 0.103
0.465 0.106 0.394
0.701 0.701 0.103
0.823 0.823 0.394
```


# Na2LiAlH6

Crystalline Na2LiAlH6 at its relaxed geometry (GGA-PBEsol, Alexandria).

Properties
M_tot in μB/atom: 0.00
Total DFT energy (no corrections) in eV per atom: -3.091
Offset from the most stable computed form in meV per atom: 0

```
Na2LiAlH6
1.0
5.149 0.000 -0.001
0.000 5.157 0.000
-0.005 0.000 7.294
Na Al H Li
4 2 12 2
direct
0.502 0.017 0.750
0.998 0.517 0.750
0.498 0.983 0.250
0.002 0.483 0.250
0.000 0.000 0.000
0.500 0.500 0.500
0.294 0.231 0.470
0.206 0.731 0.030
0.706 0.769 0.530
0.794 0.269 0.970
0.267 0.208 0.029
0.233 0.708 0.471
0.733 0.792 0.971
0.767 0.292 0.529
0.944 0.010 0.238
0.556 0.510 0.262
0.056 0.990 0.762
0.444 0.490 0.738
0.000 0.000 0.500
0.500 0.500 0.000
```


# Na2LiAlH6

Crystalline Na2LiAlH6 at its relaxed geometry (GGA-PBEsol, Alexandria).

Properties
M_tot in μB/atom: 0.00
Total DFT energy (no corrections) in eV per atom: -3.087
Offset from the most stable computed form in meV per atom: 4

```
Na2LiAlH6
1.0
-3.213 -3.849 -1.191
1.370 -3.503 -3.523
1.102 -4.820 1.453
Na Li Al H
2 1 1 6
direct
0.750 0.750 0.750
0.250 0.250 0.250
0.500 0.500 0.500
0.000 0.000 0.000
0.240 0.240 0.760
0.760 0.240 0.760
0.760 0.240 0.240
0.760 0.760 0.240
0.240 0.760 0.240
0.240 0.760 0.760
```


# NaLiAlH2

Crystalline NaLiAlH2 at its relaxed geometry (GGA-PBEsol, Alexandria).

Properties
M_tot in μB/atom: 0.00
Total DFT energy (no corrections) in eV per atom: -2.453

```
NaLiAlH2
1.0
-1.877 -1.322 -3.035
3.308 -0.643 -1.766
0.141 -4.910 2.052
Na Li Al H
1 1 1 2
direct
0.500 0.500 0.500
0.000 0.000 0.500
0.000 0.000 0.000
0.000 0.500 0.000
0.500 0.000 0.000
```